Entry 1:
Compound: CoNi2As
Source: the Alexandria database
Functional: PBE
Structure: optimized geometry

Calculated total energy   -0.4257 Ry per atom
ΔE_f   3.6 kJ per mole of atoms

Lattice parameters (Å, degrees): 3.1137 3.1137 5.0116 90.00 90.00 90.00
Last column: nearest neighbours and their distance in Å.
Space group P4/mmm (No. 123)
Symmetry-distinct sites (fractional):
Co (0.0000, 0.0000, 0.0000)  2 As 2.51, 8 Ni 2.52
Ni (0.5000, 0.5000, 0.2435)  2 Ni 2.44-2.57, 4 Co 2.52, 4 As 2.55
As (0.0000, 0.0000, 0.5000)  2 Co 2.51, 8 Ni 2.55

Entry 2:
Compound: Rb2AuS
Source: the Alexandria database
Functional: PBE
Structure: optimized geometry

Calculated total energy   -0.1848 Ry per atom
E_form (uncorrected)   -0.72 eV/f.u.

Lattice parameters (Å, degrees): 7.1932 7.1932 17.5565 90.00 90.00 90.00
Last column: nearest neighbours and their distance in Å.
Space group I-42d (No. 122)
Symmetry-distinct sites (fractional):
Rb (0.2275, 0.2500, 0.1250)  2 S 3.28, 2 Au 3.45
Au (0.0000, 0.0000, 0.5000)  4 Rb 3.45
S (0.0000, 0.0000, 0.0000)  4 Rb 3.28

Entry 3:
Compound: NaTb2Nd3Te6
Source: the Alexandria database
Functional: PBE
Structure: optimized geometry

Calculated total energy   -0.3683 Ry per atom
E_form (uncorrected)   -16.40 eV/f.u.

Lattice parameters (Å, degrees): 19.4657 4.4381 8.9576 90.00 103.52 90.00
Last column: nearest neighbours and their distance in Å.
Space group C2/m (No. 12)
Symmetry-distinct sites (fractional):
Na (0.0000, 0.0000, 0.0000)  6 Te 3.12-3.18
Tb (0.1667, 0.5000, 0.3394)  6 Te 3.07-3.15
Nd (0.0000, 0.0000, 0.5000)  6 Te 3.19
Nd (0.1618, 0.5000, 0.8238)  6 Te 3.15-3.24
Te (0.0046, 0.5000, 0.2467)  1 Tb 3.07, 2 Na 3.12, 3 Nd 3.15-3.19
Te (0.1679, 0.0000, 0.0896)  2 Tb 3.15, 1 Na 3.18, 3 Nd 3.22-3.24
Te (0.1685, 0.0000, 0.5780)  3 Tb 3.08-3.12, 3 Nd 3.15-3.19

Entry 4:
Compound: InMo2Pt
Source: the Alexandria database
Functional: PBE
Structure: optimized geometry

Calculated total energy   -0.5363 Ry per atom
ΔE_f   30.2 kJ per mole of atoms

Lattice parameters (Å, degrees): 4.9166 4.9166 2.8114 90.00 90.00 90.00
Last column: nearest neighbours and their distance in Å.
Space group P4/mmm (No. 123)
Symmetry-distinct sites (fractional):
In (0.0000, 0.0000, 0.0000)  2 In 2.81, 8 Mo 2.83
Mo (0.0000, 0.5000, 0.5000)  2 Mo 2.81, 4 In 2.83, 4 Pt 2.83
Pt (0.5000, 0.5000, 0.0000)  2 Pt 2.81, 8 Mo 2.83

Entry 5:
Compound: LaSn3Rh3
Source: the Alexandria database
Functional: PBE
Structure: optimized geometry

Calculated total energy   -0.4440 Ry per atom
Energy relative to the lowest polymorph listed for this composition   0.0000 eV per atom
ΔE_f   -45.4 kJ per mole of atoms

Lattice parameters (Å, degrees): 8.2987 8.2987 15.9671 90.00 90.00 120.00
Last column: nearest neighbours and their distance in Å.
Space group R-3 (No. 148, hexagonal axes)
Symmetry-distinct sites (fractional):
La (0.0000, 0.0000, 0.1695)  6 Rh 2.85-2.95
Sn (0.0114, 0.2889, 0.6109)  4 Rh 2.66-2.78
Rh (0.0008, 0.3275, 0.7758)  4 Sn 2.66-2.78, 2 La 2.85-2.95

Entry 6:
Compound: PaNbCo5Si2
Source: the Alexandria database
Functional: PBE
Structure: optimized geometry

Calculated total energy   -0.5661 Ry per atom
E_form (uncorrected)   -3.38 eV/f.u.

Lattice parameters (Å, degrees): 3.7555 3.7555 8.5036 90.00 90.00 90.00
Last column: nearest neighbours and their distance in Å.
Space group P4/mmm (No. 123)
Symmetry-distinct sites (fractional):
Pa (0.0000, 0.0000, 0.0000)  12 Co 2.66-2.69
Nb (0.0000, 0.0000, 0.5000)  8 Si 2.89, 8 Co 2.99
Co (0.0000, 0.5000, 0.2260)  2 Si 2.22
Co (0.5000, 0.5000, 0.0000)  4 Pa 2.66, 8 Co 2.69
Si (0.5000, 0.5000, 0.3649)  4 Co 2.22, 1 Si 2.30

Entry 7:
Compound: LuTh2Zn
Source: the Alexandria database
Functional: PBE
Structure: optimized geometry

Calculated total energy   -0.3718 Ry per atom
Energy relative to the lowest polymorph listed for this composition   0.1178 eV per atom
ΔE_f   9.6 kJ per mole of atoms

Lattice parameters (Å, degrees): 7.6121 7.6121 7.6121 90.00 90.00 90.00
Last column: nearest neighbours and their distance in Å.
Space group Fm-3m (No. 225)
Symmetry-distinct sites (fractional):
Lu (0.0000, 0.0000, 0.0000)  8 Th 3.30
Th (0.2500, 0.2500, 0.2500)  4 Zn 3.30, 4 Lu 3.30
Zn (0.0000, 0.0000, 0.5000)  8 Th 3.30

Entry 8:
Compound: CsB2Pd
Source: the Alexandria database
Functional: PBE
Structure: optimized geometry

Calculated total energy   -0.3131 Ry per atom
Energy relative to the lowest polymorph listed for this composition   0.0000 eV per atom
ΔE_f   56.9 kJ per mole of atoms

Lattice parameters (Å, degrees): 6.4714 6.4714 9.2078 90.00 90.00 90.00
Last column: nearest neighbours and their distance in Å.
Space group I4_1/amd (No. 141, origin choice 2)
Symmetry-distinct sites (fractional):
Cs (0.0000, 0.2500, 0.3750)  12 B 3.80-3.81, 4 Pd 3.97, 4 Cs 3.97
B (0.0000, 0.0000, 0.0000)  2 Pd 1.99
Pd (0.0000, 0.2500, 0.8750)  4 B 1.99

Entry 9:
Compound: La2HfB2
Source: the Alexandria database
Functional: PBE
Structure: optimized geometry

Calculated total energy   -0.4735 Ry per atom
Energy relative to the lowest polymorph listed for this composition   0.0000 eV per atom
ΔE_f   18.4 kJ per mole of atoms

Lattice parameters (Å, degrees): 7.1218 7.1218 4.0261 90.00 90.00 90.00
Last column: nearest neighbours and their distance in Å.
Space group P4/mbm (No. 127)
Symmetry-distinct sites (fractional):
La (0.1468, 0.3532, 0.0000)  6 B 2.74-3.02, 1 La 2.96
Hf (0.0000, 0.0000, 0.5000)  4 B 2.65
B (0.1685, 0.6685, 0.5000)  2 Hf 2.65, 2 La 2.74

Entry 10:
Compound: BaNa3P4O12
Source: the Alexandria database
Functional: PBE
Structure: optimized geometry

Calculated total energy   -0.4711 Ry per atom
E_form (uncorrected)   -41.17 eV/f.u.

Lattice parameters (Å, degrees): 11.2159 11.2159 8.9484 90.00 90.00 120.00
Last column: nearest neighbours and their distance in Å.
Space group R32 (No. 155, hexagonal axes)
Symmetry-distinct sites (fractional):
Ba (0.0000, 0.0000, 0.0000)  6 O 2.80
Na (0.0000, 0.5561, 0.0000)  6 O 2.44-2.45
P (0.0000, 0.0000, 0.5000)  3 O 1.50
P (0.0000, 0.4443, 0.5000)  3 O 1.50-1.51
O (0.0000, 0.5782, 0.5000)  1 P 1.50
O (0.0000, 0.8662, 0.5000)  1 P 1.50
O (0.0224, 0.2201, 0.1695)  1 P 1.51

Entry 11:
Compound: K3BiW
Source: the Alexandria database
Functional: PBE
Structure: optimized geometry

Calculated total energy   -0.2002 Ry per atom
Energy relative to the lowest polymorph listed for this composition   0.0000 eV per atom
ΔE_f   125.6 kJ per mole of atoms

Lattice parameters (Å, degrees): 6.7520 6.7520 6.7520 90.00 90.00 90.00
Last column: nearest neighbours and their distance in Å.
Space group Pm-3m (No. 221)
Symmetry-distinct sites (fractional):
K (0.0000, 0.0000, 0.5000)  2 Bi 3.38
Bi (0.0000, 0.0000, 0.0000)  6 K 3.38
W (0.5000, 0.5000, 0.5000)  12 K 4.77

Entry 12:
Compound: CdNiMo2
Source: the Alexandria database
Functional: PBE
Structure: optimized geometry

Calculated total energy   -0.4976 Ry per atom
ΔE_f   30.8 kJ per mole of atoms

Lattice parameters (Å, degrees): 2.7886 2.7886 28.1824 90.00 90.00 120.00
Last column: nearest neighbours and their distance in Å.
Space group R3m (No. 160, hexagonal axes)
Symmetry-distinct sites (fractional):
Cd (0.0000, 0.0000, 0.0000)  6 Cd 2.79, 3 Ni 2.81, 3 Mo 3.07
Ni (0.0000, 0.0000, 0.2515)  3 Mo 2.60, 6 Ni 2.79, 3 Cd 2.81
Mo (0.0000, 0.0000, 0.5123)  3 Ni 2.60, 9 Mo 2.79-2.91
Mo (0.0000, 0.0000, 0.7594)  9 Mo 2.79-2.91, 3 Cd 3.07

Entry 13:
Compound: TaGeTePt
Source: the Alexandria database
Functional: PBE
Structure: optimized geometry

Calculated total energy   -0.4879 Ry per atom
Energy relative to the lowest polymorph listed for this composition   0.0088 eV per atom
E_form (uncorrected)   -0.90 eV/f.u.

Lattice parameters (Å, degrees): 7.2105 4.1670 6.9175 90.00 110.45 90.00
Last column: nearest neighbours and their distance in Å.
Space group Cm (No. 8)
Symmetry-distinct sites (fractional):
Ta (0.0000, 0.0000, 0.0000)  3 Pt 2.63
Ge (0.4277, 0.0000, 0.2832)  3 Pt 2.53
Te (0.0747, 0.5000, 0.7259)  1 Pt 2.84, 1 Ge 2.87, 3 Ta 2.99
Pt (0.2212, 0.5000, 0.1636)  3 Ge 2.53, 3 Ta 2.63

Entry 14:
Compound: Pd2Pb2Br
Source: the Alexandria database
Functional: PBE
Structure: optimized geometry

Calculated total energy   -0.3026 Ry per atom
Energy relative to the lowest polymorph listed for this composition   0.0588 eV per atom
E_form (uncorrected)   -1.11 eV/f.u.

Lattice parameters (Å, degrees): 7.8572 7.8572 3.7106 90.00 90.00 90.00
Last column: nearest neighbours and their distance in Å.
Space group P4/mbm (No. 127)
Symmetry-distinct sites (fractional):
Pd (0.1283, 0.3717, 0.0000)  1 Pd 2.85, 6 Pb 2.94-3.00, 2 Br 3.09
Pb (0.1599, 0.6599, 0.5000)  6 Pd 2.94-3.00
Br (0.0000, 0.0000, 0.0000)  4 Pd 3.09

Entry 15:
Compound: CdTe2PdI
Source: the Alexandria database
Functional: PBE
Structure: optimized geometry

Calculated total energy   -0.1898 Ry per atom
Energy relative to the lowest polymorph listed for this composition   0.0000 eV per atom
E_form (uncorrected)   1.03 eV/f.u.

Lattice parameters (Å, degrees): 5.3641 5.3641 5.4659 90.00 90.00 90.00
Last column: nearest neighbours and their distance in Å.
Space group P4/mmm (No. 123)
Symmetry-distinct sites (fractional):
Cd (0.0000, 0.0000, 0.0000)  4 I 3.79, 8 Te 3.83
Te (0.0000, 0.5000, 0.5000)  2 Pd 2.68
Pd (0.5000, 0.5000, 0.5000)  4 Te 2.68, 2 I 2.73
I (0.5000, 0.5000, 0.0000)  2 Pd 2.73

Entry 16:
Compound: ScMn2Mo
Source: the Alexandria database
Functional: PBE
Structure: optimized geometry

Calculated total energy   -0.6260 Ry per atom
ΔE_f   34.5 kJ per mole of atoms

Lattice parameters (Å, degrees): 2.7325 4.3744 5.0611 90.00 90.00 90.00
Last column: nearest neighbours and their distance in Å.
Space group Pmm2 (No. 25)
Symmetry-distinct sites (fractional):
Sc (0.0000, 0.0000, 0.0000)  6 Mn 2.52-2.77, 2 Sc 2.73
Mn (0.0000, 0.0000, 0.4975)  2 Sc 2.52-2.54, 2 Mn 2.73, 4 Mo 2.75
Mn (0.5000, 0.5000, 0.2024)  2 Mo 2.44-2.62
Mo (0.5000, 0.5000, 0.6841)  2 Mn 2.44-2.62

Entry 17:
Compound: Na2VAg
Source: the Alexandria database
Functional: PBE
Structure: optimized geometry

Calculated total energy   -0.2107 Ry per atom
Energy relative to the lowest polymorph listed for this composition   0.0609 eV per atom
ΔE_f   75.8 kJ per mole of atoms

Lattice parameters (Å, degrees): 8.3057 8.3057 5.7761 90.00 90.00 90.00
Last column: nearest neighbours and their distance in Å.
Space group I-42d (No. 122)
Symmetry-distinct sites (fractional):
Na (0.2241, 0.2500, 0.1250)  2 Ag 2.88, 2 Na 2.92, 2 V 3.18
V (0.0000, 0.0000, 0.5000)  2 Ag 2.89, 4 Na 3.18
Ag (0.0000, 0.0000, 0.0000)  4 Na 2.88, 2 V 2.89

Entry 18:
Compound: Ge2IrRh
Source: the Alexandria database
Functional: PBE
Structure: optimized geometry

Calculated total energy   -0.4867 Ry per atom
Energy relative to the lowest polymorph listed for this composition   0.0000 eV per atom
ΔE_f   -25.1 kJ per mole of atoms

Lattice parameters (Å, degrees): 3.8964 3.8964 14.9138 90.00 90.00 120.00
Last column: nearest neighbours and their distance in Å.
Space group R3m (No. 160, hexagonal axes)
Symmetry-distinct sites (fractional):
Ge (0.0000, 0.0000, 0.0000)  3 Ir 2.62, 1 Ge 2.66, 3 Rh 2.70
Ge (0.0000, 0.0000, 0.1785)  3 Ir 2.45, 3 Rh 2.54, 1 Ge 2.66
Ir (0.0000, 0.0000, 0.5771)  6 Ge 2.45-2.62
Rh (0.0000, 0.0000, 0.7663)  6 Ge 2.54-2.70, 1 Ir 2.82

Entry 19:
Compound: Ba2YPbO
Source: the Alexandria database
Functional: PBE
Structure: optimized geometry

Calculated total energy   -0.3696 Ry per atom
E_form (uncorrected)   -6.16 eV/f.u.

Lattice parameters (Å, degrees): 5.6662 5.6662 4.7412 90.00 90.00 90.00
Last column: nearest neighbours and their distance in Å.
Space group P4/mmm (No. 123)
Symmetry-distinct sites (fractional):
Ba (0.0000, 0.5000, 0.0000)  2 O 2.83
Y (0.0000, 0.0000, 0.5000)  2 O 2.37
Pb (0.5000, 0.5000, 0.5000)  8 Ba 3.69, 4 Y 4.01
O (0.0000, 0.0000, 0.0000)  2 Y 2.37

Entry 20:
Compound: SiIF2
Source: the Alexandria database
Functional: PBE
Structure: optimized geometry

Calculated total energy   -0.2771 Ry per atom
Energy relative to the lowest polymorph listed for this composition   0.1674 eV per atom
E_form (uncorrected)   -4.36 eV/f.u.

Lattice parameters (Å, degrees): 3.4666 3.4666 25.8289 90.00 90.00 120.00
Last column: nearest neighbours and their distance in Å.
Space group R-3m (No. 166, hexagonal axes)
Symmetry-distinct sites (fractional):
Si (0.0000, 0.0000, 0.0000)  6 F 2.22
I (0.0000, 0.0000, 0.5000)  6 I 3.47
F (0.0000, 0.0000, 0.2965)  3 Si 2.22

no.,mass density (kg/m3),DOS(E_F) (states/eV per cell)
1,8587,4.74
2,2924,39.87
3,6794,9.21
4,12261,3.46
5,8409,29.08
6,9343,7.86
7,10608,13.12
8,4495,4.75
9,7773,10.77
10,2668,8.76
11,2752,6.89
12,9528,18.00
13,9827,5.26
14,10252,4.91
15,6345,5.56
16,6883,5.24
17,3414,23.87
18,11189,2.98
19,6401,3.68
20,3576,5.95